# 1
Here is a geometry-optimized Nd3MgCd2AgIr2 structure from the Open Quantum Materials Database. Energies are from PBE.

```
data_Nd3MgCd2AgIr2
_cell_length_a 4.0384
_cell_length_b 13.4160
_cell_length_c 7.6495
_cell_angle_alpha 90.00
_cell_angle_beta 90.00
_cell_angle_gamma 90.00
_symmetry_space_group_name_H-M 'A m m 2'
_symmetry_Int_Tables_number 38
loop_
_symmetry_equiv_pos_as_xyz
'x,y,z'
'-x,-y,z'
'-x,y,z'
'x,-y,z'
'x,y+1/2,z+1/2'
'-x,-y+1/2,z+1/2'
'-x,y+1/2,z+1/2'
'x,-y+1/2,z+1/2'
loop_
_atom_site_label
_atom_site_fract_x
_atom_site_fract_y
_atom_site_fract_z
Nd1 0.0000 0.0000 0.0000
Nd2 0.0000 0.2114 0.3774
Mg1 0.5000 0.0000 0.3287
Cd1 0.5000 0.1276 0.7122
Ag1 0.0000 0.0000 0.5754
Ir1 0.5000 0.1628 0.0942
```

Results
VASP energy   -4.734 eV per atom
Magnetic moment   0.0 μB/f.u.
Calculated density   9.41 g cm⁻³
Calculated volume   207.2 Å³/f.u.


# 2
Here is a geometry-optimized LaPr2NO2 structure from the Open Quantum Materials Database. Energies are from PBE.

```
data_LaPr2NO2
_cell_length_a 3.6233
_cell_length_b 3.6233
_cell_length_c 8.8741
_cell_angle_alpha 90.00
_cell_angle_beta 90.00
_cell_angle_gamma 120.00
_symmetry_space_group_name_H-M 'P -3 m 1'
_symmetry_Int_Tables_number 164
_symmetry_space_group_name_Hall '-P 3 2"'
loop_
_atom_site_label
_atom_site_fract_x
_atom_site_fract_y
_atom_site_fract_z
La1 0.0000 0.0000 0.0000
Pr1 0.3333 0.6667 0.6619
N1 0.0000 0.0000 0.5000
O1 0.3333 0.6667 0.1636
```

Results
VASP energy   -7.799 eV per atom
Magnetic moment   0.0 μB/f.u.
Calculated density   7.68 g cm⁻³
Calculated volume   100.9 Å³/f.u.


# 3
Here is a geometry-optimized MgZrTeW structure from the Open Quantum Materials Database. Energies are from PBE.

```
data_MgZrTeW
_cell_length_a 6.7895
_cell_length_b 6.7895
_cell_length_c 6.7895
_cell_angle_alpha 90.00
_cell_angle_beta 90.00
_cell_angle_gamma 90.00
_symmetry_space_group_name_H-M 'F -4 3 m'
_symmetry_Int_Tables_number 216
_symmetry_space_group_name_Hall 'F -4 2 3'
loop_
_atom_site_label
_atom_site_fract_x
_atom_site_fract_y
_atom_site_fract_z
Mg1 0.0000 0.0000 0.0000
Zr1 0.2500 0.2500 0.7500
Te1 0.0000 0.0000 0.5000
W1 0.2500 0.2500 0.2500
```

Results
VASP energy   -6.113 eV per atom
Magnetic moment   0.0 μB/f.u.
Calculated density   9.06 g cm⁻³
Calculated volume   78.2 Å³/f.u.


# 4
Here is a geometry-optimized NbSnPd2 structure from the Open Quantum Materials Database. Energies are from PBE.

```
data_NbSnPd2
_cell_length_a 6.5118
_cell_length_b 6.5118
_cell_length_c 6.5118
_cell_angle_alpha 90.00
_cell_angle_beta 90.00
_cell_angle_gamma 90.00
_symmetry_space_group_name_H-M 'F -4 3 m'
_symmetry_Int_Tables_number 216
_symmetry_space_group_name_Hall 'F -4 2 3'
loop_
_atom_site_label
_atom_site_fract_x
_atom_site_fract_y
_atom_site_fract_z
Nb1 0.0000 0.0000 0.0000
Sn1 0.2500 0.2500 0.7500
Pd1 0.0000 0.0000 0.5000
Pd2 0.2500 0.2500 0.2500
```

Results
VASP energy   -6.381 eV per atom
Magnetic moment   0.0 μB/f.u.
Calculated density   10.21 g cm⁻³
Calculated volume   69.0 Å³/f.u.


# 5
Here is a geometry-optimized RbTaCuTe2S structure from the Open Quantum Materials Database. Energies are from PBE.

```
data_RbTaCuTe2S
_cell_length_a 3.8947
_cell_length_b 16.8221
_cell_length_c 9.8687
_cell_angle_alpha 90.00
_cell_angle_beta 90.00
_cell_angle_gamma 90.00
_symmetry_space_group_name_H-M 'C m c m'
_symmetry_Int_Tables_number 63
_symmetry_space_group_name_Hall '-C 2c 2'
loop_
_atom_site_label
_atom_site_fract_x
_atom_site_fract_y
_atom_site_fract_z
Rb1 0.0000 0.2377 0.2500
Ta1 0.0000 0.5000 0.0000
Cu1 0.0000 0.0262 0.7500
Te1 0.0000 0.1206 0.5449
S1 0.0000 0.4537 0.7500
```

Results
VASP energy   -5.014 eV per atom
Magnetic moment   0.1 μB/f.u.
Calculated density   6.34 g cm⁻³
Calculated volume   161.6 Å³/f.u.


# 6
Here is a geometry-optimized LiNbNiHg structure from the Open Quantum Materials Database. Energies are from PBE.

```
data_LiNbNiHg
_cell_length_a 6.3353
_cell_length_b 6.3353
_cell_length_c 6.3353
_cell_angle_alpha 90.00
_cell_angle_beta 90.00
_cell_angle_gamma 90.00
_symmetry_space_group_name_H-M 'F -4 3 m'
_symmetry_Int_Tables_number 216
_symmetry_space_group_name_Hall 'F -4 2 3'
loop_
_atom_site_label
_atom_site_fract_x
_atom_site_fract_y
_atom_site_fract_z
Li1 0.0000 0.0000 0.0000
Nb1 0.0000 0.0000 0.5000
Ni1 0.2500 0.2500 0.2500
Hg1 0.2500 0.2500 0.7500
```

Results
VASP energy   -4.326 eV per atom
Magnetic moment   0.0 μB/f.u.
Calculated density   9.38 g cm⁻³
Calculated volume   63.6 Å³/f.u.


# 7
Here is a geometry-optimized SnSbW4N2 structure from the Open Quantum Materials Database. Energies are from PBE.

```
data_SnSbW4N2
_cell_length_a 3.3530
_cell_length_b 3.3530
_cell_length_c 12.5650
_cell_angle_alpha 90.00
_cell_angle_beta 90.00
_cell_angle_gamma 120.00
_symmetry_space_group_name_H-M 'P -6 m 2'
_symmetry_Int_Tables_number 187
_symmetry_space_group_name_Hall 'P -6 2'
loop_
_atom_site_label
_atom_site_fract_x
_atom_site_fract_y
_atom_site_fract_z
Sn1 0.0000 0.0000 0.0000
Sb1 0.3333 0.6667 0.5000
W1 0.0000 0.0000 0.3290
W2 0.3333 0.6667 0.1773
N1 0.6667 0.3333 0.2496
```

Results
VASP energy   -9.168 eV per atom
Magnetic moment   0.0 μB/f.u.
Calculated density   13.63 g cm⁻³
Calculated volume   122.3 Å³/f.u.


# 8
Here is a geometry-optimized Rb2AgAu3I8 structure from the Open Quantum Materials Database. Energies are from PBE.

```
data_Rb2AgAu3I8
_cell_length_a 13.6689
_cell_length_b 7.6724
_cell_length_c 21.7027
_cell_angle_alpha 90.00
_cell_angle_beta 101.93
_cell_angle_gamma 90.00
_symmetry_space_group_name_H-M 'C 1 2/c 1'
_symmetry_Int_Tables_number 15
loop_
_symmetry_equiv_pos_as_xyz
'x,y,z'
'-x,-y,-z'
'-x,y,-z+1/2'
'x,-y,z+1/2'
'x+1/2,y+1/2,z'
'-x+1/2,-y+1/2,-z'
'-x+1/2,y+1/2,-z+1/2'
'x+1/2,-y+1/2,z+1/2'
loop_
_atom_site_label
_atom_site_fract_x
_atom_site_fract_y
_atom_site_fract_z
Rb1 0.2035 0.0293 0.0943
Ag1 0.0000 0.4870 0.7500
Au1 0.0000 0.5000 0.0000
Au2 0.0961 0.0033 0.8021
I1 0.0366 0.2712 0.3551
I2 0.0499 0.2228 0.9364
I3 0.1701 0.2663 0.7501
I4 0.1911 0.4682 0.5620
```

Results
VASP energy   -2.455 eV per atom
Calculated density   5.62 g cm⁻³
Calculated volume   556.7 Å³/f.u.